Entry from Alexandria: AlRu after structural relaxation (PBE).

Cell lengths 3.9061, 3.9061, 3.9061 Å; angles 60.00, 60.00, 60.00 degrees
Each line ends with the local moment (μB).
Fractional coordinates of all 2 atoms:
Al1 0.0000 0.0000 0.0000  -0.01
Ru1 0.7500 0.7500 0.7500  0.70

## Properties
Space-group type: F-43m (216)
Formation energy in eV per atom: 1.040
Total magnetic moment in μB per formula unit: 0.73

***

Entry from Alexandria: GdTmLuIn after structural relaxation (PBE).

Cell lengths 5.3988, 5.3988, 5.3988 Å; angles 60.00, 60.00, 60.00 degrees
Each line ends with the local moment (μB).
Fractional coordinates of all 4 atoms:
Tm1 0.5000 0.5000 0.5000  -0.22
Lu1 0.7500 0.7500 0.7500  -0.23
Gd1 0.0000 0.0000 0.0000  -7.26
In1 0.2500 0.2500 0.2500  0.01

## Properties
Space-group type: F-43m (216)
Formation energy in eV per atom: -0.150
Total magnetic moment in μB per formula unit: 8.13

***

Entry from Alexandria: LiHgRu2 after structural relaxation (PBE).

Cell lengths 4.9580, 4.9580, 4.6162 Å; angles 81.34, 81.34, 33.25 degrees
Fractional coordinates of all 4 atoms:
Ru1 0.0007 0.0007 0.0239
Ru2 0.4993 0.4993 0.4761
Hg1 0.7500 0.7500 0.7500
Li1 0.2500 0.2500 0.2500

## Properties
Space-group type: C2/m (12)
Formation energy in eV per atom: 0.314
Total magnetic moment in μB per formula unit: 0.00

***

Entry from Alexandria: HfTi2TlBi after structural relaxation (PBE).

Cell lengths 5.1184, 5.3448, 5.1184 Å; angles 90.00, 90.00, 90.00 degrees
Each line ends with the local moment (μB).
Fractional coordinates of all 5 atoms:
Ti1 0.5000 0.0000 0.0000  1.23
Ti2 0.0000 0.0000 0.5000  1.32
Tl1 0.0000 0.0000 0.0000  -0.01
Hf1 0.0000 0.5000 0.0000  0.19
Bi1 0.5000 0.5000 0.5000  -0.10

## Properties
Space-group type: P4/mmm (123)
Formation energy in eV per atom: 0.997
Total magnetic moment in μB per formula unit: 3.50

***

Entry from Alexandria: Nd4MgZn2Ga after structural relaxation (PBE).

Cell lengths 5.2731, 5.2731, 9.1782 Å; angles 73.31, 73.31, 60.00 degrees
Fractional coordinates of all 8 atoms:
Nd1 0.3800 0.3800 0.8601
Nd2 0.1293 0.1293 0.6121
Nd3 0.8707 0.8707 0.3879
Nd4 0.6200 0.6200 0.1399
Zn1 0.7422 0.7422 0.7734
Zn2 0.2578 0.2578 0.2266
Mg1 0.0000 0.0000 0.0000
Ga1 0.5000 0.5000 0.5000

## Properties
Space-group type: R-3m (166)
Formation energy in eV per atom: -0.313
Total magnetic moment in μB per formula unit: 0.00

***

Entry from Alexandria: FeCoPt2 after structural relaxation (PBE).

Cell lengths 4.2846, 4.2846, 4.2846 Å; angles 60.00, 60.00, 60.00 degrees
Each line ends with the local moment (μB).
Fractional coordinates of all 4 atoms:
Fe1 0.0000 0.0000 0.0000  -3.10
Pt1 0.7500 0.7500 0.7500  -0.16
Pt2 0.2500 0.2500 0.2500  -0.16
Co1 0.5000 0.5000 0.5000  1.60

## Properties
Space-group type: Fm-3m (225)
Formation energy in eV per atom: 0.003
Total magnetic moment in μB per formula unit: 1.85